1.
Computed, not measured: an optimized crystal structure of BeCu2Si at the PBEsol level of DFT.

Computed properties:
As for the density of states at the Fermi level: 0.94 states/eV/cell.

a = 4.150 Å, b = 4.150 Å, c = 4.328 Å
α = 99.22°, β = 99.22°, γ = 36.57°
Fractional positions:
Be (0.000, 0.000, 0.000)
Cu (0.253, 0.253, 0.757)
Cu (0.747, 0.747, 0.243)
Si (0.500, 0.500, 0.500)

=====

2.
Computed, not measured: an optimized crystal structure of Sb2PdRu at the PBEsol level of DFT.

Computed properties:
As for the density of states at the Fermi level: 3.92 states/eV/cell.

a = 4.648 Å, b = 4.648 Å, c = 4.648 Å
α = 60.00°, β = 60.00°, γ = 60.00°
Fractional positions:
Sb (0.250, 0.250, 0.250)
Sb (0.750, 0.750, 0.750)
Pd (0.000, 0.000, 0.000)
Ru (0.500, 0.500, 0.500)

=====

3.
Computed, not measured: an optimized crystal structure of LiTeMoN2 at the PBEsol level of DFT.

Computed properties:
As for the density of states at the Fermi level: 2.30 states/eV/cell.

a = 3.873 Å, b = 3.873 Å, c = 5.566 Å
α = 90.00°, β = 90.00°, γ = 90.00°
Fractional positions:
Li (0.000, 0.000, 0.000)
Te (0.500, 0.500, 0.000)
Mo (0.500, 0.500, 0.500)
N (0.000, 0.500, 0.500)
N (0.500, 0.000, 0.500)

=====

4.
Computed, not measured: an optimized crystal structure of CaY2Rh at the PBEsol level of DFT.

Computed properties:
The calculation puts the formation enthalpy at 0 K at 0.20 eV/f.u. As for the density of states at the Fermi level: 3.29 states/eV/cell. For the offset from the most stable computed form, the calculation gives 386 meV/atom.

a = 5.111 Å, b = 5.111 Å, c = 5.111 Å
α = 60.00°, β = 60.00°, γ = 60.00°
Fractional positions:
Ca (0.000, 0.000, 0.000)
Y (0.250, 0.250, 0.250)
Y (0.500, 0.500, 0.500)
Rh (0.750, 0.750, 0.750)

=====

5.
Computed, not measured: an optimized crystal structure of Pr2AlZn at the PBEsol level of DFT.

Computed properties:
The calculation puts the formation enthalpy at 0 K at -1.24 eV/f.u. As for the density of states at the Fermi level: 3.94 states/eV/cell.

a = 3.624 Å, b = 3.624 Å, c = 7.555 Å
α = 90.00°, β = 90.00°, γ = 90.00°
Fractional positions:
Pr (0.000, 0.000, 0.244)
Pr (0.000, 0.000, 0.756)
Al (0.500, 0.500, 0.500)
Zn (0.500, 0.500, 0.000)

=====

6.
Computed, not measured: an optimized crystal structure of TaGeAsSe2 at the PBEsol level of DFT.

Computed properties:
As for the density of states at the Fermi level: 3.52 states/eV/cell.

a = 4.924 Å, b = 4.924 Å, c = 5.029 Å
α = 90.00°, β = 90.00°, γ = 90.00°
Fractional positions:
Ta (0.000, 0.000, 0.000)
Ge (0.500, 0.500, 0.500)
As (0.000, 0.000, 0.500)
Se (0.000, 0.500, 0.000)
Se (0.500, 0.000, 0.000)

=====

7.
Computed, not measured: an optimized crystal structure of FeMo2P at the PBEsol level of DFT.

Computed properties:
The calculation puts the formation enthalpy at 0 K at -0.63 eV/f.u. As for the density of states at the Fermi level: 3.14 states/eV/cell.

a = 2.832 Å, b = 2.832 Å, c = 6.393 Å
α = 90.00°, β = 90.00°, γ = 90.00°
Fractional positions:
Fe (0.000, 0.000, 0.000)
Mo (0.500, 0.500, 0.261)
Mo (0.500, 0.500, 0.739)
P (0.000, 0.000, 0.500)

=====

8.
Computed, not measured: an optimized crystal structure of Rb3ReNi at the PBEsol level of DFT.

Computed properties:
The calculation puts the formation enthalpy at 0 K at 9.63 eV/f.u. As for the density of states at the Fermi level: 7.67 states/eV/cell.

a = 5.983 Å, b = 5.983 Å, c = 5.983 Å
α = 90.00°, β = 90.00°, γ = 90.00°
Fractional positions:
Rb (0.000, 0.000, 0.500)
Rb (0.000, 0.500, 0.000)
Rb (0.500, 0.000, 0.000)
Re (0.500, 0.500, 0.500)
Ni (0.000, 0.000, 0.000)

=====

9.
Computed, not measured: an optimized crystal structure of AlAg3F at the PBEsol level of DFT.

Computed properties:
As for the density of states at the Fermi level: 4.99 states/eV/cell.

a = 4.780 Å, b = 4.780 Å, c = 4.780 Å
α = 90.00°, β = 90.00°, γ = 90.00°
Fractional positions:
Al (0.000, 0.000, 0.000)
Ag (0.000, 0.000, 0.500)
Ag (0.000, 0.500, 0.000)
Ag (0.500, 0.000, 0.000)
F (0.500, 0.500, 0.500)

=====

10.
Computed, not measured: an optimized crystal structure of TlCd2Au at the PBEsol level of DFT.

Computed properties:
The calculation puts the formation enthalpy at 0 K at -0.16 eV/f.u. As for the density of states at the Fermi level: 1.41 states/eV/cell. For the offset from the most stable computed form, the calculation gives 0 meV/atom.

a = 3.161 Å, b = 3.161 Å, c = 8.643 Å
α = 90.00°, β = 90.00°, γ = 90.00°
Fractional positions:
Tl (0.000, 0.000, 0.000)
Cd (0.500, 0.500, 0.288)
Cd (0.500, 0.500, 0.712)
Au (0.000, 0.000, 0.500)

=====

11.
Computed, not measured: an optimized crystal structure of NaTa3Tl at the PBEsol level of DFT.

Computed properties:
The calculation puts the formation enthalpy at 0 K at 12.20 eV/f.u. As for the density of states at the Fermi level: 11.11 states/eV/cell.

a = 5.125 Å, b = 5.125 Å, c = 5.125 Å
α = 90.00°, β = 90.00°, γ = 90.00°
Fractional positions:
Na (0.000, 0.000, 0.000)
Ta (0.000, 0.500, 0.500)
Ta (0.500, 0.000, 0.500)
Ta (0.500, 0.500, 0.000)
Tl (0.500, 0.500, 0.500)

=====

12.
Computed, not measured: an optimized crystal structure of BaMgZr at the PBEsol level of DFT.

Computed properties:
The calculation puts the formation enthalpy at 0 K at 2.80 eV/f.u. As for the density of states at the Fermi level: 4.66 states/eV/cell.

a = 5.352 Å, b = 5.352 Å, c = 5.352 Å
α = 60.00°, β = 60.00°, γ = 60.00°
Fractional positions:
Ba (0.000, 0.000, 0.000)
Mg (0.250, 0.250, 0.250)
Zr (0.500, 0.500, 0.500)

=====

13.
Computed, not measured: an optimized crystal structure of TlCuO2 at the PBEsol level of DFT.

Computed properties:
For the offset from the most stable computed form, the calculation gives 13 meV/atom.

a = 5.308 Å, b = 5.413 Å, c = 5.488 Å
α = 90.00°, β = 115.94°, γ = 90.00°
Fractional positions:
Tl (0.168, 0.250, 0.351)
Tl (0.832, 0.750, 0.649)
Cu (0.493, 0.250, 0.006)
Cu (0.507, 0.750, 0.994)
O (0.284, 0.000, 0.785)
O (0.284, 0.500, 0.785)
O (0.716, 0.000, 0.215)
O (0.716, 0.500, 0.215)

=====

14.
Computed, not measured: an optimized crystal structure of TaMo at the PBEsol level of DFT.

Computed properties:
The calculation puts the formation enthalpy at 0 K at -0.24 eV/f.u. As for the density of states at the Fermi level: 6.10 states/eV/cell.

a = 3.189 Å, b = 4.534 Å, c = 9.029 Å
α = 90.00°, β = 90.00°, γ = 90.00°
Fractional positions:
Ta (0.250, 0.250, 0.006)
Ta (0.250, 0.750, 0.256)
Ta (0.750, 0.250, 0.744)
Ta (0.750, 0.750, 0.994)
Mo (0.250, 0.250, 0.495)
Mo (0.250, 0.750, 0.742)
Mo (0.750, 0.250, 0.258)
Mo (0.750, 0.750, 0.505)

=====

15.
Computed, not measured: an optimized crystal structure of LaHf2Ag at the PBEsol level of DFT.

Computed properties:
The calculation puts the formation enthalpy at 0 K at 1.16 eV/f.u. As for the density of states at the Fermi level: 4.57 states/eV/cell.

a = 4.910 Å, b = 4.910 Å, c = 4.910 Å
α = 60.00°, β = 60.00°, γ = 60.00°
Fractional positions:
La (0.000, 0.000, 0.000)
Hf (0.250, 0.250, 0.250)
Hf (0.750, 0.750, 0.750)
Ag (0.500, 0.500, 0.500)

=====

16.
Computed, not measured: an optimized crystal structure of Y2CdNi at the PBEsol level of DFT.

Computed properties:
The calculation puts the formation enthalpy at 0 K at -1.49 eV/f.u. As for the density of states at the Fermi level: 2.54 states/eV/cell.

a = 3.425 Å, b = 3.425 Å, c = 7.390 Å
α = 90.00°, β = 90.00°, γ = 90.00°
Fractional positions:
Y (0.000, 0.000, 0.217)
Y (0.000, 0.000, 0.783)
Cd (0.500, 0.500, 0.500)
Ni (0.500, 0.500, 0.000)

=====

17.
Computed, not measured: an optimized crystal structure of SnSe3N at the PBEsol level of DFT.

Computed properties:
As for the density of states at the Fermi level: 5.73 states/eV/cell.

a = 5.244 Å, b = 5.244 Å, c = 5.244 Å
α = 90.00°, β = 90.00°, γ = 90.00°
Fractional positions:
Sn (0.000, 0.000, 0.000)
Se (0.000, 0.000, 0.500)
Se (0.000, 0.500, 0.000)
Se (0.500, 0.000, 0.000)
N (0.500, 0.500, 0.500)

=====

18.
Computed, not measured: an optimized crystal structure of Ba5Gd2ZrAl2O13 at the PBEsol level of DFT.

Computed properties:
As for the density of states at the Fermi level: 0.00 states/eV/cell.

a = 5.988 Å, b = 5.988 Å, c = 25.221 Å
α = 90.00°, β = 90.00°, γ = 120.00°
Fractional positions:
Ba (0.000, 0.000, 0.136)
Ba (0.000, 0.000, 0.364)
Ba (0.000, 0.000, 0.636)
Ba (0.000, 0.000, 0.864)
Ba (0.333, 0.667, 0.040)
Ba (0.333, 0.667, 0.460)
Ba (0.333, 0.667, 0.750)
Ba (0.667, 0.333, 0.250)
Ba (0.667, 0.333, 0.540)
Ba (0.667, 0.333, 0.960)
Gd (0.333, 0.667, 0.604)
Gd (0.333, 0.667, 0.896)
Gd (0.667, 0.333, 0.104)
Gd (0.667, 0.333, 0.396)
Zr (0.000, 0.000, 0.000)
Zr (0.000, 0.000, 0.500)
Al (0.333, 0.667, 0.182)
Al (0.333, 0.667, 0.318)
Al (0.667, 0.333, 0.682)
Al (0.667, 0.333, 0.818)
O (0.011, 0.506, 0.159)
O (0.011, 0.506, 0.341)
O (0.161, 0.323, 0.549)
O (0.161, 0.323, 0.951)
O (0.161, 0.839, 0.549)
O (0.161, 0.839, 0.951)
O (0.323, 0.161, 0.049)
O (0.323, 0.161, 0.451)
O (0.333, 0.667, 0.250)
O (0.494, 0.506, 0.159)
O (0.494, 0.506, 0.341)
O (0.494, 0.989, 0.159)
O (0.494, 0.989, 0.341)
O (0.506, 0.011, 0.659)
O (0.506, 0.011, 0.841)
O (0.506, 0.494, 0.659)
O (0.506, 0.494, 0.841)
O (0.667, 0.333, 0.750)
O (0.677, 0.839, 0.549)
O (0.677, 0.839, 0.951)
O (0.839, 0.161, 0.049)
O (0.839, 0.161, 0.451)
O (0.839, 0.677, 0.049)
O (0.839, 0.677, 0.451)
O (0.989, 0.494, 0.659)
O (0.989, 0.494, 0.841)

=====

19.
Computed, not measured: an optimized crystal structure of CaCd2 at the PBEsol level of DFT.

Computed properties:
The calculation puts the formation enthalpy at 0 K at -0.41 eV/f.u. As for the density of states at the Fermi level: 3.82 states/eV/cell.

a = 6.576 Å, b = 6.576 Å, c = 6.576 Å
α = 129.94°, β = 129.94°, γ = 73.51°
Fractional positions:
Ca (0.250, 0.250, 0.000)
Ca (0.750, 0.750, 0.000)
Cd (0.178, 0.678, 0.855)
Cd (0.322, 0.178, 0.500)
Cd (0.678, 0.822, 0.500)
Cd (0.822, 0.322, 0.145)

=====

20.
Computed, not measured: an optimized crystal structure of TaZnRe2 at the PBEsol level of DFT.

Computed properties:
The calculation puts the formation enthalpy at 0 K at 0.39 eV/f.u. As for the density of states at the Fermi level: 3.05 states/eV/cell.

a = 4.136 Å, b = 4.136 Å, c = 3.481 Å
α = 90.00°, β = 90.00°, γ = 90.00°
Fractional positions:
Ta (0.000, 0.000, 0.000)
Zn (0.500, 0.500, 0.000)
Re (0.000, 0.500, 0.500)
Re (0.500, 0.000, 0.500)

=====

Number 1: V 43.8 Å³ per cell, total magnetization 0.00 μB/f.u., VASP energy -18.429 eV for the cell shown. Number 2: V 71.0 Å³ per cell, total magnetization 0.00 μB/f.u., VASP energy -25.183 eV for the cell shown. Number 3: V 83.5 Å³ per cell, total magnetization 0.00 μB/f.u., VASP energy -34.036 eV for the cell shown. Number 4: V 94.4 Å³ per cell, total magnetization 0.00 μB/f.u., VASP energy -23.720 eV for the cell shown. Number 5: V 99.2 Å³ per cell, total magnetization 0.00 μB/f.u., VASP energy -17.279 eV for the cell shown. Number 6: V 121.9 Å³ per cell, total magnetization 0.00 μB/f.u., VASP energy -29.064 eV for the cell shown. Number 7: V 51.3 Å³ per cell, total magnetization 0.00 μB/f.u., VASP energy -38.920 eV for the cell shown. Number 8: V 214.2 Å³ per cell, total magnetization 4.06 μB/f.u., VASP energy -12.935 eV for the cell shown. Number 9: V 109.2 Å³ per cell, total magnetization 0.00 μB/f.u., VASP energy -13.679 eV for the cell shown. Number 10: V 86.4 Å³ per cell, total magnetization 0.00 μB/f.u., VASP energy -9.105 eV for the cell shown. Number 11: V 134.6 Å³ per cell, total magnetization 0.03 μB/f.u., VASP energy -29.486 eV for the cell shown. Number 12: V 108.4 Å³ per cell, total magnetization 2.67 μB/f.u., VASP energy -10.155 eV for the cell shown. Number 13: V 141.8 Å³ per cell, total magnetization 0.00 μB/f.u., VASP energy -39.284 eV for the cell shown. Number 14: V 130.6 Å³ per cell, total magnetization 0.00 μB/f.u., VASP energy -98.233 eV for the cell shown. Number 15: V 83.7 Å³ per cell, total magnetization 0.00 μB/f.u., VASP energy -28.505 eV for the cell shown. Number 16: V 86.7 Å³ per cell, total magnetization 0.00 μB/f.u., VASP energy -22.489 eV for the cell shown. Number 17: V 144.2 Å³ per cell, total magnetization 2.66 μB/f.u., VASP energy -16.982 eV for the cell shown. Number 18: V 783.3 Å³ per cell, total magnetization 14.00 μB/f.u., VASP energy -392.198 eV for the cell shown. Number 19: V 163.2 Å³ per cell, total magnetization 0.00 μB/f.u., VASP energy -9.878 eV for the cell shown. Number 20: V 59.6 Å³ per cell, total magnetization 0.00 μB/f.u., VASP energy -40.412 eV for the cell shown.